1.
Crystalline PuTlTeO6 at its relaxed geometry. Source: the Alexandria database, functional PBE.

The density of states at the Fermi level comes out at 0.64 states/eV/atom. The calculated density comes out at 7.03 g cm⁻³. The value obtained for the uncorrected formation energy is -1.64 eV/atom. The space group is Imma (74).

Unit cell a=7.464 b=7.816 c=7.666 alpha=120.65 beta=119.13 gamma=90.00
Site moments in Bohr magnetons follow the coordinates.
Element x y z (fractional)
Te 0.000 0.000 0.500  0.04
Te 0.500 0.000 0.500  0.04
O 0.168 0.300 0.743  -0.05
O 0.576 0.944 0.743  -0.05
O 0.576 0.300 0.743  -0.05
O 0.168 0.944 0.743  -0.05
O 0.424 0.056 0.257  -0.05
O 0.186 0.936 0.372  0.01
O 0.424 0.700 0.257  -0.05
O 0.832 0.056 0.257  -0.05
O 0.565 0.315 0.131  -0.16
O 0.832 0.700 0.257  -0.05
O 0.814 0.064 0.628  0.01
O 0.435 0.685 0.869  -0.16
Pu 0.500 0.000 0.000  3.31
Pu 0.500 0.500 0.000  3.31
Tl 0.925 0.675 0.850  0.00
Tl 0.075 0.325 0.150  0.00

=====

2.
Crystalline Ca2CdHPd at its relaxed geometry. Source: the Alexandria database, functional PBE.

The density of states at the Fermi level comes out at 0.35 states/eV/atom. The calculated density comes out at 4.96 g cm⁻³. The space group is P4/mmm (123). The distance to the lowest polymorph of the same formula comes out at 0 meV/atom.

Unit cell a=5.111 b=5.111 c=3.844 alpha=90.00 beta=90.00 gamma=90.00
Element x y z (fractional)
Cd 0.500 0.500 0.500
Ca 0.500 0.000 0.000
Ca 0.000 0.500 0.000
H 0.000 0.000 0.000
Pd 0.000 0.000 0.500

=====

3.
Crystalline La3PmSn2O at its relaxed geometry. Source: the Alexandria database, functional PBE.

The density of states at the Fermi level comes out at 0.88 states/eV/atom. The calculated density comes out at 6.60 g cm⁻³. The value obtained for the uncorrected formation energy is -1.33 eV/atom. The space group is Immm (71).

Unit cell a=4.828 b=4.828 c=9.432 alpha=104.83 beta=104.83 gamma=90.00
Site moments in Bohr magnetons follow the coordinates.
Element x y z (fractional)
La 0.000 0.500 0.000  0.08
La 0.175 0.175 0.350  0.17
La 0.825 0.825 0.650  0.17
Sn 0.363 0.363 0.727  -0.02
Sn 0.637 0.637 0.273  -0.02
Pm 0.500 0.000 0.000  0.10
O 0.000 0.000 0.000  -0.01

=====

4.
Crystalline BaMnSe2 at its relaxed geometry. Source: the Alexandria database, functional PBE.

The calculated density comes out at 4.19 g cm⁻³. The value obtained for the uncorrected formation energy is -1.08 eV/atom. The space group is Pm (6).

Unit cell a=4.478 b=4.748 c=6.533 alpha=88.14 beta=90.00 gamma=90.00
Site moments in Bohr magnetons follow the coordinates.
Element x y z (fractional)
Mn 0.500 0.976 0.797  4.27
Se 0.000 0.766 0.891  0.06
Se 0.500 0.130 0.431  0.06
Ba 0.000 0.627 0.382  0.02

=====

5.
Crystalline ThMnC at its relaxed geometry. Source: the Alexandria database, functional PBE.

The density of states at the Fermi level comes out at 0.85 states/eV/atom. The calculated density comes out at 11.00 g cm⁻³. The space group is P-6m2 (187). The energy relative to the elements comes out at 0.052 eV per atom. The distance to the lowest polymorph of the same formula comes out at 0 meV/atom.

Unit cell a=4.463 b=3.417 c=3.417 alpha=120.00 beta=90.00 gamma=90.00
Element x y z (fractional)
C 0.167 0.000 0.000
Th 0.667 0.667 0.333
Mn 0.167 0.333 0.667

=====

6.
Crystalline SrGa2Ni at its relaxed geometry. Source: the Alexandria database, functional PBE.

The density of states at the Fermi level comes out at 0.41 states/eV/atom. The calculated density comes out at 6.11 g cm⁻³. The space group is Fm-3m (225). The energy relative to the elements comes out at -0.049 eV per atom.

Unit cell a=4.789 b=4.789 c=4.789 alpha=60.00 beta=60.00 gamma=60.00
Element x y z (fractional)
Sr 0.500 0.500 0.500
Ga 0.750 0.750 0.750
Ga 0.250 0.250 0.250
Ni 0.000 0.000 0.000

=====

Number 1: volume 17.62 Å³ per atom. Number 2: volume 20.08 Å³ per atom. Number 3: volume 29.28 Å³ per atom. Number 4: volume 34.71 Å³ per atom. Number 5: volume 15.04 Å³ per atom. Number 6: volume 19.42 Å³ per atom.